Entry from the Alexandria database: a relaxed structure of TbTm3Se6 (GGA-PBE).

Results
- Magnetic moment: 0.00 μB per formula unit
- Distance to the lowest polymorph of the same formula: 0.000 eV per formula unit
- Uncorrected energy: -115.03 eV per cell
- Formation energy without anion corrections: -1.856 eV per atom

a = 4.063 Å, b = 11.480 Å, c = 11.749 Å
α = 109.22°, β = 90.00°, γ = 90.00°
Fractional positions:
Tm 0.250 0.841 0.916
Tm 0.750 0.159 0.084
Tm 0.750 0.683 0.501
Tm 0.750 0.434 0.833
Tm 0.250 0.566 0.167
Tm 0.250 0.317 0.499
Se 0.250 0.887 0.535
Se 0.250 0.521 0.385
Se 0.750 0.395 0.061
Se 0.750 0.744 0.276
Se 0.250 0.605 0.939
Se 0.250 0.194 0.250
Se 0.750 0.479 0.615
Se 0.750 0.113 0.465
Se 0.750 0.806 0.750
Se 0.250 0.082 0.903
Se 0.750 0.918 0.097
Se 0.250 0.256 0.724
Tb 0.750 0.045 0.694
Tb 0.250 0.955 0.306

***

Entry from the Alexandria database: a relaxed structure of Tb4TmSe6 (GGA-PBE).

Results
- Magnetic moment: 0.00 μB per formula unit
- Uncorrected energy: -127.66 eV per cell
- Formation energy without anion corrections: -1.812 eV per atom
- D(E_F): 5.89 states/eV/cell

a = 3.977 Å, b = 7.010 Å, c = 20.803 Å
α = 90.00°, β = 90.00°, γ = 106.48°
Fractional positions:
Se 0.770 0.540 0.409
Se 0.055 0.111 0.168
Se 0.055 0.111 0.332
Se 0.945 0.889 0.668
Se 0.230 0.460 0.909
Se 0.770 0.540 0.091
Se 0.500 0.000 0.500
Se 0.230 0.460 0.591
Se 0.945 0.889 0.832
Se 0.500 0.000 0.000
Se 0.305 0.611 0.250
Se 0.695 0.389 0.750
Tb 0.859 0.718 0.961
Tb 0.141 0.282 0.039
Tb 0.411 0.823 0.128
Tb 0.859 0.718 0.539
Tb 0.589 0.177 0.872
Tb 0.141 0.282 0.461
Tb 0.589 0.177 0.628
Tb 0.411 0.823 0.372
Tm 0.653 0.305 0.250
Tm 0.347 0.695 0.750

***

Entry from the Alexandria database: a relaxed structure of TbTm2Se3 (GGA-PBE).

Results
- Magnetic moment: 0.00 μB per formula unit
- Distance to the lowest polymorph of the same formula: 0.075 eV per formula unit
- Uncorrected energy: -68.29 eV per cell
- Formation energy without anion corrections: -1.686 eV per atom
- D(E_F): 5.58 states/eV/cell

a = 3.934 Å, b = 6.827 Å, c = 11.448 Å
α = 66.61°, β = 90.00°, γ = 90.00°
Fractional positions:
Tb 0.750 0.305 0.170
Tb 0.250 0.695 0.830
Se 0.250 0.244 0.999
Se 0.750 0.529 0.340
Se 0.250 0.018 0.341
Se 0.250 0.471 0.660
Se 0.750 0.982 0.659
Se 0.750 0.756 0.001
Tm 0.250 0.251 0.496
Tm 0.250 0.803 0.170
Tm 0.750 0.197 0.830
Tm 0.750 0.749 0.504